[1]
An optimized crystal structure of Ce3Sm2YTe6. Source: Alexandria, functional PBE-GGA.

The structure in POSCAR format:
```
Ce3Sm2YTe6
1.0
3.8348 -6.6525 0.0000
3.8348 6.6525 0.0000
-2.5618 0.0000 7.3464
Ce Sm Y Te
3 2 1 6
direct
0.0000 0.0000 0.0000
0.3306 0.6694 0.0000
0.6694 0.3306 0.0000
0.1661 0.8339 0.5000
0.8339 0.1661 0.5000
0.5000 0.5000 0.5000
0.0902 0.4193 0.2571
0.2533 0.2533 0.7459
0.4193 0.0902 0.2571
0.5807 0.9098 0.7429
0.7467 0.7467 0.2541
0.9098 0.5807 0.7429
```

Calculated values
* size of the total moment: 3.5 μB/cell
* space group: C2/m (12)
* ΔE_f (raw): -1.37 eV/atom
* volume: 31.2 Å³/atom

[2]
An optimized crystal structure of Pr6Au3C. Source: Alexandria, functional PBE-GGA.

The structure in POSCAR format:
```
Pr6Au3C
1.0
6.9530 0.0000 0.0000
0.0000 7.8118 0.0000
-6.3734 0.0000 10.5753
Pr Au C
12 6 2
direct
0.0881 0.0417 0.2306
0.0881 0.4583 0.7306
0.2045 0.7033 0.0678
0.2045 0.7967 0.5678
0.3665 0.1633 0.0616
0.3665 0.3367 0.5616
0.6335 0.6633 0.4384
0.6335 0.8367 0.9384
0.7955 0.2033 0.4322
0.7955 0.2967 0.9322
0.9119 0.5417 0.2694
0.9119 0.9583 0.7694
0.3113 0.1061 0.7517
0.3113 0.3939 0.2517
0.5000 0.0000 0.5000
0.5000 0.5000 0.0000
0.6887 0.6061 0.7483
0.6887 0.8939 0.2483
0.0000 0.0000 0.0000
0.0000 0.5000 0.5000
```

Calculated values
* size of the total moment: 0.0 μB/cell
* space group: P2_1/c (14)
* E_form: -0.4450 eV per atom
* volume: 28.7 Å³/atom

[3]
An optimized crystal structure of Rb3CrFe. Source: Alexandria, functional PBE-GGA.

The structure in POSCAR format:
```
Rb3CrFe
1.0
6.5877 0.0000 0.0000
0.0000 6.5877 0.0000
0.0000 0.0000 6.5877
Rb Cr Fe
3 1 1
direct
0.0000 0.0000 0.5000
0.0000 0.5000 0.0000
0.5000 0.0000 0.0000
0.5000 0.5000 0.5000
0.0000 0.0000 0.0000
```

Calculated values
* size of the total moment: 2.9 μB/cell
* space group: Pm-3m (221)
* E_form: 1.3071 eV per atom
* energy above the lowest structure with this stoichiometry: 0 meV per atom
* volume: 57.2 Å³/atom

Which value of size of the total moment does entry 3 give?
2.9 μB/cell

Which of these has the lowest size of the total moment?
Pr6Au3C

The highest size of the total moment belongs to which entry?
Ce3Sm2YTe6

Number 1 is which compound?
Ce3Sm2YTe6